# Nd3Sm3Tl2In | Alexandria | GGA-PBE | relaxed
data_Nd3Sm3Tl2In
_chemical_formula_sum 'Nd3 Sm3 Tl2 In1'
_space_group_name_H-M_alt 'P -6 2 m'
_space_group_IT_number 189
_space_group_name_Hall 'P -6 -2'
_cell_length_a 9.1861
_cell_length_b 9.1861
_cell_length_c 3.8301
_cell_angle_alpha 90.00
_cell_angle_beta 90.00
_cell_angle_gamma 120.00
loop_
_atom_site_label
_atom_site_type_symbol
_atom_site_fract_x
_atom_site_fract_y
_atom_site_fract_z
Nd1 Nd 0.0000 0.7130 0.0000
Sm1 Sm 0.0000 0.3835 0.5000
Tl1 Tl 0.3333 0.6667 0.0000
In1 In 0.0000 0.0000 0.5000
# E_form: -2.51 eV per formula unit
# total magnetization: 0.0 μB/cell